Entry 1:
A plane-wave DFT calculation with PBE was carried out for crystalline Cs3Hg2Bi4 at its relaxed geometry.

Output
- Uncorrected energy: -2.330 eV per atom

Lattice parameters (Å, degrees): 5.9191 7.6709 10.6501 103.97 90.07 112.64
Space group P-1 (No. 2)
Asymmetric unit:
Cs 0.0000 0.0000 0.0000 x1
Cs 0.3862 0.7718 0.6276 x2
Hg 0.3299 0.6634 0.2567 x2
Bi 0.1224 0.2414 0.6871 x2
Bi 0.2770 0.5530 0.9499 x2

---

Entry 2:
A plane-wave DFT calculation with PBE was carried out for crystalline GdCu2Ag at its relaxed geometry.

Output
- Uncorrected energy: -6.345 eV per atom

Lattice parameters (Å, degrees): 3.3985 3.3985 6.3147 90.00 90.00 90.00
Space group P4/mmm (No. 123)
Asymmetric unit:
Gd 0.0000 0.0000 0.0000 x1
Cu 0.5000 0.5000 0.2921 x2
Ag 0.0000 0.0000 0.5000 x1

---

Entry 3:
A plane-wave DFT calculation with PBE was carried out for crystalline YAgPCl2 at its relaxed geometry.

Output
- Excess energy over the best structure of this formula in the dataset: 336.0 meV per atom

Lattice parameters (Å, degrees): 4.8101 4.8101 5.2164 90.00 90.00 90.00
Space group P4/mmm (No. 123)
Asymmetric unit:
Y 0.0000 0.0000 0.0000 x1
Ag 0.5000 0.5000 0.5000 x1
P 0.5000 0.5000 0.0000 x1
Cl 0.0000 0.5000 0.5000 x2

---

Entry 4:
A plane-wave DFT calculation with PBE was carried out for crystalline NaTaZn2Sb at its relaxed geometry.

Output
- Uncorrected energy: -2.623 eV per atom

Lattice parameters (Å, degrees): 4.6668 4.6668 5.2775 90.00 90.00 90.00
Space group P4/mmm (No. 123)
Asymmetric unit:
Na 0.0000 0.0000 0.0000 x1
Ta 0.5000 0.5000 0.5000 x1
Zn 0.0000 0.5000 0.0000 x2
Sb 0.0000 0.0000 0.5000 x1

---

Entry 5:
A plane-wave DFT calculation with PBE was carried out for crystalline Li3CuF5 at its relaxed geometry.

Output
- Uncorrected energy: -4.531 eV per atom

Lattice parameters (Å, degrees): 10.8986 5.9558 6.8362 90.00 108.39 90.00
Space group C2/c (No. 15)
Asymmetric unit:
Li 0.0000 0.0147 0.2500 x4
Li 0.2486 0.1977 0.8281 x8
Cu 0.0000 0.5000 0.0000 x4
F 0.0000 0.3335 0.2500 x4
F 0.1157 0.1529 0.9576 x8
F 0.1734 0.4118 0.6321 x8

---

Entry 6:
A plane-wave DFT calculation with PBE was carried out for crystalline TbTmSiHg at its relaxed geometry.

Output
- Uncorrected energy: -4.156 eV per atom

Lattice parameters (Å, degrees): 7.1987 7.1987 7.1987 90.00 90.00 90.00
Space group F-43m (No. 216)
Asymmetric unit:
Tb 0.0000 0.0000 0.0000 x4
Tm 0.0000 0.0000 0.5000 x4
Si 0.2500 0.2500 0.2500 x4
Hg 0.2500 0.2500 0.7500 x4